Arrangement A

The following is a SCAN calculation of a crystal of CaY2Ag relaxed with PBEsol, from the Alexandria database.

Summary:
**Crystal system**: orthorhombic
**Fermi-level density of states**: 9.27 states/eV/cell

```
data_CaY2Ag
_symmetry_space_group_name_H-M 'I m m m'
_symmetry_Int_Tables_number 71
_symmetry_space_group_name_Hall '-I 2 2'
_cell_length_a 3.6041
_cell_length_b 5.4534
_cell_length_c 11.5054
_cell_angle_alpha 90.00
_cell_angle_beta 90.00
_cell_angle_gamma 90.00
loop_
_atom_site_label
_atom_site_type_symbol
_atom_site_fract_x
_atom_site_fract_y
_atom_site_fract_z
Ca1 Ca 0.0000 0.0000 0.0000
Y1 Y 0.0000 0.5000 0.2091
Ag1 Ag 0.0000 0.0000 0.5000
```

Arrangement B

The following is a SCAN calculation of a crystal of CaY2Ag relaxed with PBEsol, from the Alexandria database.

Summary:
**Crystal system**: tetragonal
**Fermi-level density of states**: 3.00 states/eV/cell

```
data_CaY2Ag
_symmetry_space_group_name_H-M 'P 4 m m'
_symmetry_Int_Tables_number 99
_symmetry_space_group_name_Hall 'P 4 -2'
_cell_length_a 3.6272
_cell_length_b 3.6272
_cell_length_c 8.5623
_cell_angle_alpha 90.00
_cell_angle_beta 90.00
_cell_angle_gamma 90.00
loop_
_atom_site_label
_atom_site_type_symbol
_atom_site_fract_x
_atom_site_fract_y
_atom_site_fract_z
Ca1 Ca 0.0000 0.0000 0.0000
Y1 Y 0.0000 0.0000 0.5890
Y2 Y 0.5000 0.5000 0.3179
Ag1 Ag 0.5000 0.5000 0.7829
```

Arrangement C

The following is a SCAN calculation of a crystal of CaY2Ag relaxed with PBEsol, from the Alexandria database.

Summary:
**Crystal system**: tetragonal
**Fermi-level density of states**: 2.20 states/eV/cell

```
data_CaY2Ag
_symmetry_space_group_name_H-M 'P 4/m m m'
_symmetry_Int_Tables_number 123
_symmetry_space_group_name_Hall '-P 4 2'
_cell_length_a 5.1091
_cell_length_b 5.1091
_cell_length_c 4.1063
_cell_angle_alpha 90.00
_cell_angle_beta 90.00
_cell_angle_gamma 90.00
loop_
_atom_site_label
_atom_site_type_symbol
_atom_site_fract_x
_atom_site_fract_y
_atom_site_fract_z
Ca1 Ca 0.0000 0.0000 0.0000
Y1 Y 0.0000 0.5000 0.5000
Ag1 Ag 0.5000 0.5000 0.0000
```

The computed energies, referenced to the most stable structure and given in eV/atom, are arrangement A 0.031; arrangement B 0.000; arrangement C 0.158.

Arrangement A

The following is a SCAN calculation of a crystal of Ca2Zn2Ag relaxed with PBEsol, from the Alexandria database.

Summary:
**Crystal system**: tetragonal
**Fermi-level density of states**: 5.24 states/eV/cell

```
data_Ca2Zn2Ag
_symmetry_space_group_name_H-M 'I 4/m m m'
_symmetry_Int_Tables_number 139
_symmetry_space_group_name_Hall '-I 4 2'
_cell_length_a 3.6506
_cell_length_b 3.6506
_cell_length_c 17.6775
_cell_angle_alpha 90.00
_cell_angle_beta 90.00
_cell_angle_gamma 90.00
loop_
_atom_site_label
_atom_site_type_symbol
_atom_site_fract_x
_atom_site_fract_y
_atom_site_fract_z
Ca1 Ca 0.0000 0.0000 0.1026
Zn1 Zn 0.0000 0.5000 0.2500
Ag1 Ag 0.0000 0.0000 0.5000
```

Arrangement B

The following is a SCAN calculation of a crystal of Ca2Zn2Ag relaxed with PBEsol, from the Alexandria database.

Summary:
**Crystal system**: tetragonal
**Fermi-level density of states**: 6.62 states/eV/cell

```
data_Ca2Zn2Ag
_symmetry_space_group_name_H-M 'P 4/m b m'
_symmetry_Int_Tables_number 127
_symmetry_space_group_name_Hall '-P 4 2ab'
_cell_length_a 7.2499
_cell_length_b 7.2499
_cell_length_c 4.2755
_cell_angle_alpha 90.00
_cell_angle_beta 90.00
_cell_angle_gamma 90.00
loop_
_atom_site_label
_atom_site_type_symbol
_atom_site_fract_x
_atom_site_fract_y
_atom_site_fract_z
Ca1 Ca 0.1788 0.3212 0.0000
Zn1 Zn 0.1232 0.6232 0.5000
Ag1 Ag 0.0000 0.0000 0.5000
```

The computed energies, referenced to the most stable structure and given in eV/atom, are arrangement A 0.106; arrangement B 0.000.

Arrangement A

The following is a SCAN calculation of a crystal of Cd2Ag3 relaxed with PBEsol, from the Alexandria database.

Summary:
**Crystal system**: orthorhombic
**Fermi-level density of states**: 2.88 states/eV/cell

```
data_Cd2Ag3
_symmetry_space_group_name_H-M 'I m m m'
_symmetry_Int_Tables_number 71
_symmetry_space_group_name_Hall '-I 2 2'
_cell_length_a 2.9748
_cell_length_b 3.9945
_cell_length_c 14.8884
_cell_angle_alpha 90.00
_cell_angle_beta 90.00
_cell_angle_gamma 90.00
loop_
_atom_site_label
_atom_site_type_symbol
_atom_site_fract_x
_atom_site_fract_y
_atom_site_fract_z
Cd1 Cd 0.0000 0.0000 0.1029
Ag1 Ag 0.0000 0.0000 0.2994
Ag2 Ag 0.0000 0.0000 0.5000
```

Arrangement B

The following is a SCAN calculation of a crystal of Cd2Ag3 relaxed with PBEsol, from the Alexandria database.

Summary:
**Crystal system**: tetragonal
**Fermi-level density of states**: 2.53 states/eV/cell

```
data_Cd2Ag3
_symmetry_space_group_name_H-M 'I 4/m m m'
_symmetry_Int_Tables_number 139
_symmetry_space_group_name_Hall '-I 4 2'
_cell_length_a 2.9707
_cell_length_b 2.9707
_cell_length_c 20.0909
_cell_angle_alpha 90.00
_cell_angle_beta 90.00
_cell_angle_gamma 90.00
loop_
_atom_site_label
_atom_site_type_symbol
_atom_site_fract_x
_atom_site_fract_y
_atom_site_fract_z
Cd1 Cd 0.0000 0.0000 0.1018
Ag1 Ag 0.0000 0.0000 0.2980
Ag2 Ag 0.0000 0.0000 0.5000
```

The computed energies, referenced to the most stable structure and given in eV/atom, are arrangement A 0.000; arrangement B 0.010.

Arrangement A

The following is a SCAN calculation of a crystal of Cd2Ag3 relaxed with PBEsol, from the Alexandria database.

Summary:
**Crystal system**: monoclinic
**Fermi-level density of states**: 2.67 states/eV/cell

```
data_Cd2Ag3
_symmetry_space_group_name_H-M 'C 1 2/m 1'
_symmetry_Int_Tables_number 12
_symmetry_space_group_name_Hall '-C 2y'
_cell_length_a 9.0748
_cell_length_b 4.1452
_cell_length_c 6.4230
_cell_angle_alpha 90.00
_cell_angle_beta 132.95
_cell_angle_gamma 90.00
loop_
_atom_site_label
_atom_site_type_symbol
_atom_site_fract_x
_atom_site_fract_y
_atom_site_fract_z
Cd1 Cd 0.0948 0.0000 0.2971
Ag1 Ag 0.0000 0.5000 0.5000
Ag2 Ag 0.2013 0.5000 0.1011
```

Arrangement B

The following is a SCAN calculation of a crystal of Cd2Ag3 relaxed with PBEsol, from the Alexandria database.

Summary:
**Crystal system**: orthorhombic
**Fermi-level density of states**: 10.34 states/eV/cell

```
data_Cd2Ag3
_symmetry_space_group_name_H-M 'F d d 2'
_symmetry_Int_Tables_number 43
_symmetry_space_group_name_Hall 'F 2 -2d'
_cell_length_a 9.9995
_cell_length_b 14.1697
_cell_length_c 5.3991
_cell_angle_alpha 90.00
_cell_angle_beta 90.00
_cell_angle_gamma 90.00
loop_
_atom_site_label
_atom_site_type_symbol
_atom_site_fract_x
_atom_site_fract_y
_atom_site_fract_z
Cd1 Cd 0.0317 0.2002 0.0000
Ag1 Ag 0.0000 0.0000 0.0726
Ag2 Ag 0.0446 0.0995 0.5336
```

Arrangement C

The following is a SCAN calculation of a crystal of Cd2Ag3 relaxed with PBEsol, from the Alexandria database.

Summary:
**Crystal system**: trigonal
**Fermi-level density of states**: 3.36 states/eV/cell

```
data_Cd2Ag3
_symmetry_space_group_name_H-M 'R -3 m'
_symmetry_Int_Tables_number 166
_symmetry_space_group_name_Hall '-R 3 2"'
_cell_length_a 2.9653
_cell_length_b 2.9653
_cell_length_c 35.0452
_cell_angle_alpha 90.00
_cell_angle_beta 90.00
_cell_angle_gamma 120.00
loop_
_atom_site_label
_atom_site_type_symbol
_atom_site_fract_x
_atom_site_fract_y
_atom_site_fract_z
Cd1 Cd 0.0000 0.0000 0.0993
Ag1 Ag 0.0000 0.0000 0.3011
Ag2 Ag 0.0000 0.0000 0.5000
```

The computed energies, referenced to the most stable structure and given in eV/atom, are arrangement A 0.000; arrangement B 0.013; arrangement C 0.032.